The following is a DFT calculation (GGA+U) of a relaxed structure of YCoOF2.

Computed properties:
- raw total energy (eV per atom) = -6.269
- ρ (kg/m³) = 3972
- E above lowest polymorph (eV/atom) = 0.000

a b c (Å): 4.3642 4.3642 4.4303
angles (deg): 90.00 90.00 90.00
With the nearest neighbours (Å) after each atom.
Fractional coordinates of all 5 atoms:
F 0.5000 0.0000 0.0000  2 Y 2.18
Y 0.0000 0.0000 0.0000  4 F 2.18, 2 O 2.22
Co 0.5000 0.5000 0.5000  4 O 3.09, 8 F 3.11
F 0.0000 0.5000 0.0000  2 Y 2.18
O 0.0000 0.0000 0.5000  2 Y 2.22